# 1
Material: NaIn3C
Method: DFT, GGA-PBE
State: optimized geometry

Properties
- ρ: 5.2 g/cm³
- Energy above the most stable polymorph in this dataset: 0.0 meV/atom
- E_form: 3.714 eV/f.u.

a = 4.9348 Å, b = 4.9348 Å, c = 4.9348 Å
α = 90.00°, β = 90.00°, γ = 90.00°
With the nearest neighbours (Å) after each atom.
Space group Pm-3m (No. 221)
One atom of each set of equivalent atoms:
Na 0.0000 0.0000 0.0000 (multiplicity 1)  12 In 3.49
In 0.0000 0.5000 0.5000 (multiplicity 3)  2 C 2.47
C 0.5000 0.5000 0.5000 (multiplicity 1)  6 In 2.47

# 2
Material: NaInC3
Method: DFT, GGA-PBE
State: optimized geometry

Properties
- ρ: 3.3 g/cm³
- Energy above the most stable polymorph in this dataset: 0.0 meV/atom
- E_form: 13.985 eV/f.u.

a = 4.4309 Å, b = 4.4309 Å, c = 4.4309 Å
α = 90.00°, β = 90.00°, γ = 90.00°
With the nearest neighbours (Å) after each atom.
Space group Pm-3m (No. 221)
One atom of each set of equivalent atoms:
Na 0.0000 0.0000 0.0000 (multiplicity 1)  12 C 3.13
In 0.5000 0.5000 0.5000 (multiplicity 1)  6 C 2.22
C 0.0000 0.5000 0.5000 (multiplicity 3)  2 In 2.22

# 3
Material: NaIn3C
Method: DFT, GGA-PBE
State: optimized geometry

Properties
- ρ: 3.6 g/cm³
- Energy above the most stable polymorph in this dataset: 1036.1 meV/atom
- E_form: 8.894 eV/f.u.

a = 5.5687 Å, b = 5.5687 Å, c = 5.5687 Å
α = 90.00°, β = 90.00°, γ = 90.00°
With the nearest neighbours (Å) after each atom.
Space group Pm-3m (No. 221)
One atom of each set of equivalent atoms:
Na 0.0000 0.0000 0.0000 (multiplicity 1)  6 In 2.78
In 0.0000 0.0000 0.5000 (multiplicity 3)  2 Na 2.78
C 0.5000 0.5000 0.5000 (multiplicity 1)  12 In 3.94

# 4
Material: NaInC3
Method: DFT, GGA-PBE
State: optimized geometry

Properties
- ρ: 3.7 g/cm³
- Energy above the most stable polymorph in this dataset: 613.3 meV/atom
- E_form: 17.051 eV/f.u.

a = 4.2827 Å, b = 4.2827 Å, c = 4.2827 Å
α = 90.00°, β = 90.00°, γ = 90.00°
With the nearest neighbours (Å) after each atom.
Space group Pm-3m (No. 221)
One atom of each set of equivalent atoms:
Na 0.0000 0.0000 0.0000 (multiplicity 1)  6 C 2.14
In 0.5000 0.5000 0.5000 (multiplicity 1)  12 C 3.03
C 0.0000 0.0000 0.5000 (multiplicity 3)  2 Na 2.14

# 5
Material: NaInC2
Method: DFT, GGA-PBE
State: optimized geometry

Properties
- ρ: 3.9 g/cm³
- E_form: 7.516 eV/f.u.

a = 4.3875 Å, b = 4.3875 Å, c = 14.3042 Å
α = 90.00°, β = 90.00°, γ = 90.00°
With the nearest neighbours (Å) after each atom.
Space group I-42d (No. 122)
One atom of each set of equivalent atoms:
Na 0.0000 0.0000 0.0000 (multiplicity 4)  4 C 2.64
In 0.0000 0.0000 0.5000 (multiplicity 4)  4 C 2.18
C 0.1331 0.2500 0.6250 (multiplicity 8)  2 In 2.18

# 6
Material: NaIn2OsC
Method: DFT, GGA-PBE
State: optimized geometry

Properties
- ρ: 5.5 g/cm³
- E_form: 14.243 eV/f.u.

a = 5.2520 Å, b = 5.2520 Å, c = 4.9413 Å
α = 90.00°, β = 90.00°, γ = 90.00°
With the nearest neighbours (Å) after each atom.
Space group P4/mmm (No. 123)
One atom of each set of equivalent atoms:
Na 0.0000 0.0000 0.0000 (multiplicity 1)  2 Os 2.47, 4 In 2.63
In 0.0000 0.5000 0.0000 (multiplicity 2)  2 Na 2.63
Os 0.0000 0.0000 0.5000 (multiplicity 1)  2 Na 2.47
C 0.5000 0.5000 0.5000 (multiplicity 1)  8 In 3.61, 4 Os 3.71

# 7
Material: NaIn2PtC
Method: DFT, GGA-PBE
State: optimized geometry

Properties
- ρ: 6.2 g/cm³
- E_form: 2.352 eV/f.u.

a = 5.6771 Å, b = 5.6771 Å, c = 3.8168 Å
α = 90.00°, β = 90.00°, γ = 90.00°
With the nearest neighbours (Å) after each atom.
Space group P4/mmm (No. 123)
One atom of each set of equivalent atoms:
Na 0.0000 0.0000 0.0000 (multiplicity 1)  8 In 3.42, 2 Na 3.82
In 0.0000 0.5000 0.5000 (multiplicity 2)  2 Pt 2.84
Pt 0.5000 0.5000 0.5000 (multiplicity 1)  2 C 1.91
C 0.5000 0.5000 0.0000 (multiplicity 1)  2 Pt 1.91

# 8
Material: Na2InReC
Method: DFT, GGA-PBE
State: optimized geometry

Properties
- ρ: 6.3 g/cm³
- E_form: 3.610 eV/f.u.

a = 4.8353 Å, b = 4.8353 Å, c = 4.0234 Å
α = 90.00°, β = 90.00°, γ = 90.00°
With the nearest neighbours (Å) after each atom.
Space group P4/mmm (No. 123)
One atom of each set of equivalent atoms:
Na 0.0000 0.5000 0.0000 (multiplicity 2)  2 C 2.42
In 0.0000 0.0000 0.5000 (multiplicity 1)  8 Na 3.15, 4 Re 3.42
Re 0.5000 0.5000 0.5000 (multiplicity 1)  2 C 2.01
C 0.5000 0.5000 0.0000 (multiplicity 1)  2 Re 2.01

# 9
Material: NaInC2S
Method: DFT, GGA-PBE
State: optimized geometry

Properties
- ρ: 3.4 g/cm³
- Formation energy without anion corrections: 1.98 eV/atom

a = 4.0511 Å, b = 4.0511 Å, c = 5.8391 Å
α = 90.00°, β = 90.00°, γ = 90.00°
With the nearest neighbours (Å) after each atom.
Space group P4/mmm (No. 123)
One atom of each set of equivalent atoms:
Na 0.0000 0.0000 0.0000 (multiplicity 1)  4 In 2.86
In 0.5000 0.5000 0.0000 (multiplicity 1)  4 Na 2.86, 2 S 2.92
C 0.0000 0.5000 0.5000 (multiplicity 2)  2 S 2.03
S 0.5000 0.5000 0.5000 (multiplicity 1)  4 C 2.03

# 10
Material: NaSc2InC
Method: DFT, GGA-PBE
State: optimized geometry

Properties
- ρ: 3.9 g/cm³
- E_form: -0.568 eV/f.u.

a = 4.5060 Å, b = 4.5060 Å, c = 4.9725 Å
α = 90.00°, β = 90.00°, γ = 90.00°
With the nearest neighbours (Å) after each atom.
Space group P4/mmm (No. 123)
One atom of each set of equivalent atoms:
Na 0.0000 0.0000 0.0000 (multiplicity 1)  2 C 2.49
Sc 0.0000 0.5000 0.5000 (multiplicity 2)  2 C 2.25
In 0.5000 0.5000 0.0000 (multiplicity 1)  4 Na 3.19, 8 Sc 3.36
C 0.0000 0.0000 0.5000 (multiplicity 1)  4 Sc 2.25, 2 Na 2.49

# 11
Material: Na2InCSe
Method: DFT, GGA-PBE
State: optimized geometry

Properties
- ρ: 3.0 g/cm³
- Formation energy without anion corrections: 0.71 eV/atom

a = 5.9969 Å, b = 5.9969 Å, c = 3.8383 Å
α = 90.00°, β = 90.00°, γ = 90.00°
With the nearest neighbours (Å) after each atom.
Space group P4/mmm (No. 123)
One atom of each set of equivalent atoms:
Na 0.0000 0.5000 0.0000 (multiplicity 2)  2 In 3.00
In 0.0000 0.0000 0.0000 (multiplicity 1)  2 C 1.92
C 0.0000 0.0000 0.5000 (multiplicity 1)  2 In 1.92
Se 0.5000 0.5000 0.5000 (multiplicity 1)  8 Na 3.56, 2 Se 3.84

# 12
Material: Nb2InC
Method: DFT, GGA-PBE
State: optimized geometry

Properties
- ρ: 8.0 g/cm³
- Energy above the most stable polymorph in this dataset: 52.8 meV/atom
- E_form: -1.504 eV/f.u.

a = 5.5559 Å, b = 3.2075 Å, c = 7.5285 Å
α = 90.00°, β = 104.37°, γ = 90.00°
With the nearest neighbours (Å) after each atom.
Space group C2/m (No. 12)
One atom of each set of equivalent atoms:
Nb 0.2209 0.0000 0.1622 (multiplicity 4)  3 C 2.20
In 0.0000 0.0000 0.5000 (multiplicity 2)  6 Nb 3.08-3.09, 6 In 3.21
C 0.0000 0.5000 0.0000 (multiplicity 2)  6 Nb 2.20

Number 1: N(E_F) 4.08 states/eV/f.u.. Number 2: N(E_F) 3.61 states/eV/f.u.. Number 3: N(E_F) 2.86 states/eV/f.u.. Number 4: N(E_F) 4.20 states/eV/f.u.. Number 5: N(E_F) 0.77 states/eV/f.u.. Number 6: N(E_F) 6.21 states/eV/f.u.. Number 7: N(E_F) 3.38 states/eV/f.u.. Number 8: N(E_F) 3.24 states/eV/f.u.. Number 9: N(E_F) 2.81 states/eV/f.u.. Number 10: N(E_F) 2.64 states/eV/f.u.. Number 11: N(E_F) 3.04 states/eV/f.u.. Number 12: N(E_F) 1.96 states/eV/f.u..